Entry 1:
## ZnAg2Sb (PBE)

Data for ZnAg2Sb after structural relaxation.

The structure in POSCAR format:
```
ZnAg2Sb
1.0
-2.724 -2.090 3.500
-1.074 -4.358 1.973
3.708 -0.093 4.144
Ag Sb Zn
2 1 1
direct
0.996 0.996 0.023
0.745 0.745 0.775
0.501 0.501 0.507
0.257 0.257 0.195
```

Output
E_tot in eV/atom: -2.674
Formation energy from raw total energies in meV/atom: 101

***

Entry 2:
## AlHO (PBE)

Data for AlHO after structural relaxation.

The structure in POSCAR format:
```
AlHO
1.0
3.161 0.000 0.000
-1.580 2.737 0.000
0.000 0.000 3.462
Al H O
1 1 1
direct
0.667 0.333 0.500
0.667 0.333 0.000
0.333 0.667 0.500
```

Output
E_tot in eV/atom: -5.598

***

Energy relative to the lowest polymorph listed for this composition for every record listed, in sequence, given in meV/atom: 30, 64.